Record 1
This record from Alexandria describes RePBr after structural relaxation. The functional is GGA-PBE.

The structure in CIF format:
```
data_RePBr
_cell_length_a 6.0023
_cell_length_b 6.0023
_cell_length_c 6.0023
_cell_angle_alpha 90.00
_cell_angle_beta 90.00
_cell_angle_gamma 90.00
_symmetry_space_group_name_H-M 'F -4 3 m'
_symmetry_Int_Tables_number 216
_symmetry_space_group_name_Hall 'F -4 2 3'
loop_
_atom_site_label
_atom_site_type_symbol
_atom_site_fract_x
_atom_site_fract_y
_atom_site_fract_z
Re1 Re 0.0000 0.0000 0.0000
P1 P 0.2500 0.2500 0.7500
Br1 Br 0.2500 0.2500 0.2500
```

Properties
The raw total energy comes out at -70.563 eV/cell. The energy above the most stable polymorph in this dataset is 0.416 eV per atom. For the size of the total moment, the calculation gives 0.0 μB/f.u. As for the formation energy from raw total energies: 0.630 eV per atom.



Record 2
This record from Alexandria describes TlTe2Ir after structural relaxation. The functional is GGA-PBE.

The structure in CIF format:
```
data_TlTe2Ir
_cell_length_a 5.3961
_cell_length_b 4.0118
_cell_length_c 5.7283
_cell_angle_alpha 90.00
_cell_angle_beta 117.71
_cell_angle_gamma 90.00
_symmetry_space_group_name_H-M 'P 1 2/m 1'
_symmetry_Int_Tables_number 10
loop_
_symmetry_equiv_pos_as_xyz
'x,y,z'
'-x,-y,-z'
'-x,y,-z'
'x,-y,z'
loop_
_atom_site_label
_atom_site_type_symbol
_atom_site_fract_x
_atom_site_fract_y
_atom_site_fract_z
Tl1 Tl 0.0000 0.0000 0.0000
Te1 Te 0.3626 0.5000 0.6712
Ir1 Ir 0.0000 0.0000 0.5000
```

Properties
The raw total energy comes out at -18.071 eV/cell. The energy above the most stable polymorph in this dataset is 0.085 eV per atom. For the size of the total moment, the calculation gives 0.0 μB/f.u. As for the formation energy from raw total energies: -0.140 eV per atom.



Record 3
This record from Alexandria describes NdGdPt after structural relaxation. The functional is GGA-PBE.

The structure in CIF format:
```
data_NdGdPt
_cell_length_a 4.7087
_cell_length_b 4.7087
_cell_length_c 4.2140
_cell_angle_alpha 90.00
_cell_angle_beta 90.00
_cell_angle_gamma 120.00
_symmetry_space_group_name_H-M 'P 3 m 1'
_symmetry_Int_Tables_number 156
loop_
_symmetry_equiv_pos_as_xyz
'x,y,z'
'-y,x-y,z'
'-x+y,-x,z'
'-y,-x,z'
'-x+y,y,z'
'x,x-y,z'
loop_
_atom_site_label
_atom_site_type_symbol
_atom_site_fract_x
_atom_site_fract_y
_atom_site_fract_z
Nd1 Nd 0.0000 0.0000 0.0000
Gd1 Gd 0.6667 0.3333 0.4642
Pt1 Pt 0.3333 0.6667 0.6973
```

Properties
Its formation energy is -632 meV/atom. The raw total energy comes out at -26.785 eV/cell. The energy above the most stable polymorph in this dataset is 0.132 eV per atom. For the size of the total moment, the calculation gives 7.3 μB/f.u.



Record 4
This record from Alexandria describes Ho3NiAg2 after structural relaxation. The functional is GGA-PBE.

The structure in CIF format:
```
data_Ho3NiAg2
_cell_length_a 4.9980
_cell_length_b 4.9980
_cell_length_c 6.1557
_cell_angle_alpha 90.00
_cell_angle_beta 90.00
_cell_angle_gamma 120.00
_symmetry_space_group_name_H-M 'P -3 m 1'
_symmetry_Int_Tables_number 164
_symmetry_space_group_name_Hall '-P 3 2"'
loop_
_atom_site_label
_atom_site_type_symbol
_atom_site_fract_x
_atom_site_fract_y
_atom_site_fract_z
Ho1 Ho 0.0000 0.0000 0.0000
Ho2 Ho 0.3333 0.6667 0.6485
Ni1 Ni 0.0000 0.0000 0.5000
Ag1 Ag 0.3333 0.6667 0.1550
```

Properties
Its formation energy is -326 meV/atom. The raw total energy comes out at -27.176 eV/cell. The energy above the most stable polymorph in this dataset is 0.000 eV per atom. For the size of the total moment, the calculation gives 0.0 μB/f.u.



Record 5
This record from Alexandria describes ReAsAu2 after structural relaxation. The functional is GGA-PBE.

The structure in CIF format:
```
data_ReAsAu2
_cell_length_a 2.9726
_cell_length_b 4.5150
_cell_length_c 5.0995
_cell_angle_alpha 90.00
_cell_angle_beta 90.00
_cell_angle_gamma 90.00
_symmetry_space_group_name_H-M 'P m m m'
_symmetry_Int_Tables_number 47
loop_
_symmetry_equiv_pos_as_xyz
'x,y,z'
'-x,-y,-z'
'-x,-y,z'
'x,y,-z'
'x,-y,-z'
'-x,y,z'
'-x,y,-z'
'x,-y,z'
loop_
_atom_site_label
_atom_site_type_symbol
_atom_site_fract_x
_atom_site_fract_y
_atom_site_fract_z
Re1 Re 0.0000 0.0000 0.0000
As1 As 0.5000 0.5000 0.0000
Au1 Au 0.0000 0.5000 0.5000
Au2 Au 0.5000 0.0000 0.5000
```

Properties
Its formation energy is 583 meV/atom. The raw total energy comes out at -21.319 eV/cell. For the size of the total moment, the calculation gives 0.0 μB/f.u.



Record 6
This record from Alexandria describes KNaCuH3 after structural relaxation. The functional is GGA-PBE.

The structure in CIF format:
```
data_KNaCuH3
_cell_length_a 5.6787
_cell_length_b 10.5872
_cell_length_c 5.4829
_cell_angle_alpha 90.00
_cell_angle_beta 90.00
_cell_angle_gamma 90.00
_symmetry_space_group_name_H-M 'C m c m'
_symmetry_Int_Tables_number 63
_symmetry_space_group_name_Hall '-C 2c 2'
loop_
_atom_site_label
_atom_site_type_symbol
_atom_site_fract_x
_atom_site_fract_y
_atom_site_fract_z
K1 K 0.0000 0.2393 0.2500
Na1 Na 0.0000 0.4335 0.7500
Cu1 Cu 0.0000 0.0588 0.7500
H1 H 0.0000 0.2149 0.7500
H2 H 0.2065 0.0000 0.0000
```

Properties
The raw total energy comes out at -67.182 eV/cell. For the size of the total moment, the calculation gives 0.0 μB/f.u.



Record 7
This record from Alexandria describes Ac4TlNiI2 after structural relaxation. The functional is GGA-PBE.

The structure in CIF format:
```
data_Ac4TlNiI2
_cell_length_a 8.4388
_cell_length_b 4.3519
_cell_length_c 8.7966
_cell_angle_alpha 90.00
_cell_angle_beta 105.42
_cell_angle_gamma 90.00
_symmetry_space_group_name_H-M 'P 1 2/m 1'
_symmetry_Int_Tables_number 10
loop_
_symmetry_equiv_pos_as_xyz
'x,y,z'
'-x,-y,-z'
'-x,y,-z'
'x,-y,z'
loop_
_atom_site_label
_atom_site_type_symbol
_atom_site_fract_x
_atom_site_fract_y
_atom_site_fract_z
Ac1 Ac 0.2041 0.0000 0.1838
Ac2 Ac 0.2326 0.5000 0.7899
Tl1 Tl 0.5000 0.0000 0.0000
Ni1 Ni 0.0000 0.5000 0.0000
I1 I 0.0000 0.0000 0.5000
I2 I 0.5000 0.5000 0.5000
```

Properties
The raw total energy comes out at -32.783 eV/cell. For the size of the total moment, the calculation gives 0.0 μB/f.u. As for the formation energy from raw total energies: -0.638 eV per atom.



Record 8
This record from Alexandria describes SmY2Ho2 after structural relaxation. The functional is GGA-PBE.

The structure in CIF format:
```
data_SmY2Ho2
_cell_length_a 12.3890
_cell_length_b 5.8432
_cell_length_c 9.5295
_cell_angle_alpha 90.00
_cell_angle_beta 110.37
_cell_angle_gamma 90.00
_symmetry_space_group_name_H-M 'C 1 2/m 1'
_symmetry_Int_Tables_number 12
loop_
_symmetry_equiv_pos_as_xyz
'x,y,z'
'-x,-y,-z'
'-x,y,-z'
'x,-y,z'
'x+1/2,y+1/2,z'
'-x+1/2,-y+1/2,-z'
'-x+1/2,y+1/2,-z'
'x+1/2,-y+1/2,z'
loop_
_atom_site_label
_atom_site_type_symbol
_atom_site_fract_x
_atom_site_fract_y
_atom_site_fract_z
Sm1 Sm 0.0501 0.0000 0.3479
Y1 Y 0.0530 0.5000 0.8635
Y2 Y 0.1463 0.5000 0.5695
Ho1 Ho 0.1529 0.0000 0.0440
Ho2 Ho 0.2401 0.5000 0.2614
```

Properties
Its formation energy is 122 meV/atom. The raw total energy comes out at -104.775 eV/cell. The energy above the most stable polymorph in this dataset is 0.035 eV per atom. For the size of the total moment, the calculation gives 0.0 μB/f.u.



Record 9
This record from Alexandria describes SiBiRuS2 after structural relaxation. The functional is GGA-PBE.

The structure in CIF format:
```
data_SiBiRuS2
_cell_length_a 4.4444
_cell_length_b 4.4444
_cell_length_c 5.4844
_cell_angle_alpha 90.00
_cell_angle_beta 90.00
_cell_angle_gamma 90.00
_symmetry_space_group_name_H-M 'P 4/m m m'
_symmetry_Int_Tables_number 123
_symmetry_space_group_name_Hall '-P 4 2'
loop_
_atom_site_label
_atom_site_type_symbol
_atom_site_fract_x
_atom_site_fract_y
_atom_site_fract_z
Si1 Si 0.0000 0.0000 0.0000
Bi1 Bi 0.0000 0.0000 0.5000
Ru1 Ru 0.5000 0.5000 0.5000
S1 S 0.0000 0.5000 0.0000
```

Properties
The raw total energy comes out at -22.198 eV/cell. For the size of the total moment, the calculation gives 2.4 μB/f.u. As for the formation energy from raw total energies: 0.927 eV per atom.



Record 10
This record from Alexandria describes LaCrPt2 after structural relaxation. The functional is GGA-PBE.

The structure in CIF format:
```
data_LaCrPt2
_cell_length_a 4.5826
_cell_length_b 4.5826
_cell_length_c 3.7871
_cell_angle_alpha 90.00
_cell_angle_beta 90.00
_cell_angle_gamma 90.00
_symmetry_space_group_name_H-M 'P 4/m m m'
_symmetry_Int_Tables_number 123
_symmetry_space_group_name_Hall '-P 4 2'
loop_
_atom_site_label
_atom_site_type_symbol
_atom_site_fract_x
_atom_site_fract_y
_atom_site_fract_z
La1 La 0.0000 0.0000 0.0000
Cr1 Cr 0.5000 0.5000 0.0000
Pt1 Pt 0.0000 0.5000 0.5000
```

Properties
Its formation energy is -509 meV/atom. The raw total energy comes out at -28.668 eV/cell. The energy above the most stable polymorph in this dataset is 0.151 eV per atom. For the size of the total moment, the calculation gives 4.3 μB/f.u.



Record 11
This record from Alexandria describes FeSiPt3 after structural relaxation. The functional is GGA-PBE.

The structure in CIF format:
```
data_FeSiPt3
_cell_length_a 4.4990
_cell_length_b 4.4990
_cell_length_c 4.4990
_cell_angle_alpha 90.00
_cell_angle_beta 90.00
_cell_angle_gamma 90.00
_symmetry_space_group_name_H-M 'P m -3 m'
_symmetry_Int_Tables_number 221
_symmetry_space_group_name_Hall '-P 4 2 3'
loop_
_atom_site_label
_atom_site_type_symbol
_atom_site_fract_x
_atom_site_fract_y
_atom_site_fract_z
Fe1 Fe 0.0000 0.0000 0.0000
Si1 Si 0.5000 0.5000 0.5000
Pt1 Pt 0.0000 0.5000 0.5000
```

Properties
The raw total energy comes out at -30.042 eV/cell. The energy above the most stable polymorph in this dataset is 0.000 eV per atom. For the size of the total moment, the calculation gives 3.5 μB/f.u. As for the formation energy from raw total energies: 0.393 eV per atom.



Record 12
This record from Alexandria describes MnGaCo after structural relaxation. The functional is GGA-PBE.

The structure in CIF format:
```
data_MnGaCo
_cell_length_a 3.0659
_cell_length_b 3.0659
_cell_length_c 8.2429
_cell_angle_alpha 90.00
_cell_angle_beta 90.00
_cell_angle_gamma 90.00
_symmetry_space_group_name_H-M 'I 4 m m'
_symmetry_Int_Tables_number 107
_symmetry_space_group_name_Hall 'I 4 -2'
loop_
_atom_site_label
_atom_site_type_symbol
_atom_site_fract_x
_atom_site_fract_y
_atom_site_fract_z
Mn1 Mn 0.0000 0.0000 0.0000
Ga1 Ga 0.0000 0.0000 0.6785
Co1 Co 0.0000 0.0000 0.3397
```

Properties
Its formation energy is -128 meV/atom. The raw total energy comes out at -39.373 eV/cell. For the size of the total moment, the calculation gives 4.8 μB/f.u.